Record 1
# PBE-GGA PmPuCd, optimized geometry
# Total energy in eV/atom: -6.6111
# DOS(E_F) in states/eV/f.u.: 8.9
# E_form in eV per atom: 0.05
# Total moment in Bohr magnetons per cell: 5.89
# V in Å³/atom: 27.44
# Polymorph energy (0 for the lowest one) in meV/atom: 57.1
data_PmPuCd
_chemical_formula_sum 'Pm1 Pu1 Cd1'
_symmetry_space_group_name_H-M 'P 1'
_symmetry_Int_Tables_number 1
_symmetry_space_group_name_Hall 'P 1'
_cell_length_a 3.248
_cell_length_b 5.410
_cell_length_c 5.410
_cell_angle_alpha 120.00
_cell_angle_beta 90.00
_cell_angle_gamma 90.00
loop_
_atom_site_label
_atom_site_type_symbol
_atom_site_fract_x
_atom_site_fract_y
_atom_site_fract_z
Cd1 Cd 0.993 0.000 0.000
Pm1 Pm 0.311 0.667 0.333
Pu1 Pu 0.697 0.333 0.667

***

Record 2
# PBE-GGA Te2MoAu, optimized geometry
# Total energy in eV/atom: -4.5623
# DOS(E_F) in states/eV/f.u.: 2.1
# Total moment in Bohr magnetons per cell: 0.00
# Formation energy without anion corrections in meV/atom: 536
# V in Å³/atom: 23.11
# Polymorph energy (0 for the lowest one) in meV/atom: 435.1
data_Te2MoAu
_chemical_formula_sum 'Te2 Mo1 Au1'
_symmetry_space_group_name_H-M 'P 1'
_symmetry_Int_Tables_number 1
_symmetry_space_group_name_Hall 'P 1'
_cell_length_a 4.722
_cell_length_b 2.886
_cell_length_c 7.344
_cell_angle_alpha 112.50
_cell_angle_beta 90.00
_cell_angle_gamma 90.00
loop_
_atom_site_label
_atom_site_type_symbol
_atom_site_fract_x
_atom_site_fract_y
_atom_site_fract_z
Mo1 Mo 0.500 0.750 0.750
Au1 Au 0.500 0.250 0.250
Te1 Te 0.000 0.983 0.984
Te2 Te 0.000 0.517 0.516